Entry 1:
MgCuCl: optimized geometry, PBE.

Unit cell a=3.417 b=3.417 c=5.719 alpha=90.00 beta=90.00 gamma=120.00
Fractional positions:
Mg1 0.333 0.667 0.674
Cu1 0.667 0.333 0.365
Cl1 0.000 0.000 0.961

Values from the calculation:
total energy = -9.0 eV per cell
total moment = 0.000 μB/atom
mass density = 3.54 g/cm3
crystal system = trigonal


Entry 2:
LaPmSmTm: optimized geometry, PBE.

Unit cell a=5.778 b=5.778 c=5.778 alpha=60.00 beta=60.00 gamma=60.00
Fractional positions:
La1 0.250 0.250 0.250
Sm1 0.750 0.750 0.750
Tm1 0.500 0.500 0.500
Pm1 0.000 0.000 0.000

Values from the calculation:
calculated formation energy = 121.8 meV per atom
total moment = 0.000 μB/atom
mass density = 7.34 g/cm3
crystal system = cubic


Entry 3:
BaIrRh2: optimized geometry, PBE.

Unit cell a=5.970 b=5.970 c=5.970 alpha=151.31 beta=130.43 gamma=58.29
Fractional positions:
Rh1 0.996 0.996 0.000
Rh2 0.223 0.723 0.500
Ir1 0.780 0.280 0.500
Ba1 0.501 0.501 0.000

Values from the calculation:
calculated formation energy = 502.5 meV per atom
total moment = 0.000 μB/atom
mass density = 11.51 g/cm3
crystal system = orthorhombic


Entry 4:
ReSnSCl2: optimized geometry, PBE.

Unit cell a=5.337 b=5.337 c=5.058 alpha=90.00 beta=90.00 gamma=90.00
Site moments in Bohr magnetons follow the coordinates.
Fractional positions:
Cl1 0.500 0.000 0.000  0.06
Cl2 0.000 0.500 0.000  0.06
Re1 0.500 0.500 0.500  4.48
Sn1 0.000 0.000 0.000  0.00
S1 0.000 0.000 0.500  0.09

Values from the calculation:
total energy = -20.0 eV per cell
total moment = 1.187 μB/atom
mass density = 4.70 g/cm3
crystal system = tetragonal


Repeat the second record exactly.
LaPmSmTm: optimized geometry, PBE.

Unit cell a=5.778 b=5.778 c=5.778 alpha=60.00 beta=60.00 gamma=60.00
Fractional positions:
La1 0.250 0.250 0.250
Sm1 0.750 0.750 0.750
Tm1 0.500 0.500 0.500
Pm1 0.000 0.000 0.000

Values from the calculation:
calculated formation energy = 121.8 meV per atom
total moment = 0.000 μB/atom
mass density = 7.34 g/cm3
crystal system = cubic


Q: What is the total moment in the second record?
A: 0.000 μB/atom


Q: Look up the mass density of the first one.
A: 3.54 g/cm3